# GGA-PBE Nd3PtI7, relaxed
# Calculated volume in A^3/atom: 46.381
# Raw formation energy in eV per atom: -1.262
# D(E_F) in states/eV/atom: 0.00
data_Nd3PtI7
_chemical_formula_sum 'Nd3 Pt1 I7'
_space_group_name_H-M_alt 'P 3 m 1'
_space_group_IT_number 156
_cell_length_a 8.8641
_cell_length_b 8.8641
_cell_length_c 7.4978
_cell_angle_alpha 90.00
_cell_angle_beta 90.00
_cell_angle_gamma 120.00
loop_
_space_group_symop_operation_xyz
'x,y,z'
'-y,x-y,z'
'-x+y,-x,z'
'-y,-x,z'
'-x+y,y,z'
'x,x-y,z'
loop_
_atom_site_label
_atom_site_type_symbol
_atom_site_fract_x
_atom_site_fract_y
_atom_site_fract_z
Nd1 Nd 0.0231 0.5115 0.0000
Pt1 Pt 0.3333 0.6667 0.7962
I1 I 0.1678 0.3356 0.2586
I2 I 0.3349 0.1675 0.7704
I3 I 0.6667 0.3333 0.2460

# GGA-PBE Sm4InHg, relaxed
# Calculated volume in A^3/atom: 31.980
# DFT formation energy in eV per atom: -0.097
# D(E_F) in states/eV/atom: 1.17
data_Sm4InHg
_chemical_formula_sum 'Sm4 In1 Hg1'
_space_group_name_H-M_alt 'P m m m'
_space_group_IT_number 47
_cell_length_a 3.745
_cell_length_b 5.779
_cell_length_c 8.866
_cell_angle_alpha 90.00
_cell_angle_beta 90.00
_cell_angle_gamma 90.00
loop_
_space_group_symop_operation_xyz
'x,y,z'
'-x,-y,-z'
'-x,-y,z'
'x,y,-z'
'x,-y,-z'
'-x,y,z'
'-x,y,-z'
'x,-y,z'
loop_
_atom_site_label
_atom_site_type_symbol
_atom_site_fract_x
_atom_site_fract_y
_atom_site_fract_z
Sm1 Sm 0.000 0.000 0.204
Sm2 Sm 0.500 0.500 0.290
In1 In 0.500 0.000 0.500
Hg1 Hg 0.000 0.500 0.000

# GGA-PBE PuPa3Si7, relaxed
# Calculated volume in A^3/atom: 19.520
# Raw formation energy in eV per atom: -0.408
# D(E_F) in states/eV/atom: 1.31
data_PuPa3Si7
_chemical_formula_sum 'Pu4 Pa12 Si28'
_space_group_name_H-M_alt 'C m c m'
_space_group_IT_number 63
_space_group_name_Hall '-C 2c 2'
_cell_length_a 4.090
_cell_length_b 18.437
_cell_length_c 11.390
_cell_angle_alpha 90.00
_cell_angle_beta 90.00
_cell_angle_gamma 90.00
loop_
_atom_site_label
_atom_site_type_symbol
_atom_site_fract_x
_atom_site_fract_y
_atom_site_fract_z
Pu1 Pu 0.000 0.037 0.250
Pa1 Pa 0.000 0.109 0.545
Pa2 Pa 0.000 0.236 0.250
Si1 Si 0.000 0.270 0.536
Si2 Si 0.000 0.374 0.647
Si3 Si 0.000 0.400 0.250
Si4 Si 0.000 0.499 0.099

# GGA-PBE Nd2YIn2, relaxed
# Calculated volume in A^3/atom: 29.558
# DFT formation energy in eV per atom: -0.388
# D(E_F) in states/eV/atom: 0.83
data_Nd2YIn2
_chemical_formula_sum 'Nd4 Y2 In4'
_space_group_name_H-M_alt 'P 1 21/m 1'
_space_group_IT_number 11
_cell_length_a 3.828
_cell_length_b 5.422
_cell_length_c 14.372
_cell_angle_alpha 90.00
_cell_angle_beta 97.68
_cell_angle_gamma 90.00
loop_
_space_group_symop_operation_xyz
'x,y,z'
'-x,-y,-z'
'-x,y+1/2,-z'
'x,-y+1/2,z'
loop_
_atom_site_label
_atom_site_type_symbol
_atom_site_fract_x
_atom_site_fract_y
_atom_site_fract_z
Nd1 Nd 0.047 0.250 0.094
Nd2 Nd 0.237 0.250 0.474
Y1 Y 0.146 0.750 0.295
In1 In 0.357 0.750 0.714
In2 In 0.448 0.250 0.896

# GGA-PBE LaTeRu2, relaxed
# Calculated volume in A^3/atom: 21.191
# Raw formation energy in eV per atom: 0.324
# D(E_F) in states/eV/atom: 1.05
data_LaTeRu2
_chemical_formula_sum 'La4 Te4 Ru8'
_space_group_name_H-M_alt 'F -4 3 m'
_space_group_IT_number 216
_space_group_name_Hall 'F -4 2 3'
_cell_length_a 6.973
_cell_length_b 6.973
_cell_length_c 6.973
_cell_angle_alpha 90.00
_cell_angle_beta 90.00
_cell_angle_gamma 90.00
loop_
_atom_site_label
_atom_site_type_symbol
_atom_site_fract_x
_atom_site_fract_y
_atom_site_fract_z
La1 La 0.000 0.000 0.000
Te1 Te 0.250 0.250 0.750
Ru1 Ru 0.000 0.000 0.500
Ru2 Ru 0.250 0.250 0.250

# GGA-PBE Tb3Sm7Mg, relaxed
# Calculated volume in A^3/atom: 34.125
# DFT formation energy in eV per atom: 0.183
# D(E_F) in states/eV/atom: 1.44
data_Tb3Sm7Mg
_chemical_formula_sum 'Tb3 Sm7 Mg1'
_space_group_name_H-M_alt 'P 3 m 1'
_space_group_IT_number 156
_cell_length_a 7.0803
_cell_length_b 7.0803
_cell_length_c 8.6462
_cell_angle_alpha 90.00
_cell_angle_beta 90.00
_cell_angle_gamma 120.00
loop_
_space_group_symop_operation_xyz
'x,y,z'
'-y,x-y,z'
'-x+y,-x,z'
'-y,-x,z'
'-x+y,y,z'
'x,x-y,z'
loop_
_atom_site_label
_atom_site_type_symbol
_atom_site_fract_x
_atom_site_fract_y
_atom_site_fract_z
Tb1 Tb 0.1680 0.3360 0.0000
Sm1 Sm 0.0049 0.5024 0.6654
Sm2 Sm 0.3328 0.1664 0.3328
Sm3 Sm 0.3333 0.6667 0.3325
Mg1 Mg 0.0000 0.0000 0.6643

# GGA-PBE Tb2Dy2TmMg5, relaxed
# Calculated volume in A^3/atom: 28.053
# DFT formation energy in eV per atom: 0.076
# D(E_F) in states/eV/atom: 0.70
data_Tb2Dy2TmMg5
_chemical_formula_sum 'Tb4 Dy4 Tm2 Mg10'
_space_group_name_H-M_alt 'P 4/m b m'
_space_group_IT_number 127
_space_group_name_Hall '-P 4 2ab'
_cell_length_a 10.540
_cell_length_b 10.540
_cell_length_c 5.050
_cell_angle_alpha 90.00
_cell_angle_beta 90.00
_cell_angle_gamma 90.00
loop_
_atom_site_label
_atom_site_type_symbol
_atom_site_fract_x
_atom_site_fract_y
_atom_site_fract_z
Tb1 Tb 0.178 0.322 0.000
Dy1 Dy 0.119 0.619 0.000
Tm1 Tm 0.000 0.000 0.000
Mg1 Mg 0.000 0.500 0.500
Mg2 Mg 0.068 0.803 0.500

# GGA-PBE LiAc2SiN4, relaxed
# Calculated volume in A^3/atom: 17.098
# Raw formation energy in eV per atom: -0.760
# D(E_F) in states/eV/atom: 0.62
data_LiAc2SiN4
_chemical_formula_sum 'Li4 Ac8 Si4 N16'
_space_group_name_H-M_alt 'F m m 2'
_space_group_IT_number 42
_space_group_name_Hall 'F 2 -2'
_cell_length_a 8.115
_cell_length_b 8.128
_cell_length_c 8.296
_cell_angle_alpha 90.00
_cell_angle_beta 90.00
_cell_angle_gamma 90.00
loop_
_atom_site_label
_atom_site_type_symbol
_atom_site_fract_x
_atom_site_fract_y
_atom_site_fract_z
Li1 Li 0.000 0.000 0.000
Ac1 Ac 0.250 0.250 0.250
Si1 Si 0.000 0.000 0.500
N1 N 0.000 0.203 0.416
N2 N 0.203 0.000 0.584

# GGA-PBE Sr5Si2Pb2, relaxed
# Calculated volume in A^3/atom: 33.518
# Raw formation energy in eV per atom: -0.436
# D(E_F) in states/eV/atom: 0.70
data_Sr5Si2Pb2
_chemical_formula_sum 'Sr20 Si8 Pb8'
_space_group_name_H-M_alt 'C m c e'
_space_group_IT_number 64
_space_group_name_Hall '-C 2ac 2'
_cell_length_a 18.296
_cell_length_b 8.137
_cell_length_c 8.104
_cell_angle_alpha 90.00
_cell_angle_beta 90.00
_cell_angle_gamma 90.00
loop_
_atom_site_label
_atom_site_type_symbol
_atom_site_fract_x
_atom_site_fract_y
_atom_site_fract_z
Sr1 Sr 0.000 0.000 0.000
Sr2 Sr 0.125 0.185 0.317
Si1 Si 0.000 0.105 0.606
Pb1 Pb 0.230 0.000 0.000

# GGA-PBE BiSbPt2, relaxed
# Calculated volume in A^3/atom: 22.526
# Raw formation energy in eV per atom: -0.368
# D(E_F) in states/eV/atom: 0.55
data_BiSbPt2
_chemical_formula_sum 'Bi4 Sb4 Pt8'
_space_group_name_H-M_alt 'P b c m'
_space_group_IT_number 57
_cell_length_a 8.686
_cell_length_b 7.444
_cell_length_c 5.574
_cell_angle_alpha 90.00
_cell_angle_beta 90.00
_cell_angle_gamma 90.00
loop_
_space_group_symop_operation_xyz
'x,y,z'
'-x,-y,-z'
'-x,-y,z+1/2'
'x,y,-z+1/2'
'x,-y+1/2,-z'
'-x,y+1/2,z'
'-x,y+1/2,-z+1/2'
'x,-y+1/2,z+1/2'
loop_
_atom_site_label
_atom_site_type_symbol
_atom_site_fract_x
_atom_site_fract_y
_atom_site_fract_z
Bi1 Bi 0.122 0.090 0.250
Sb1 Sb 0.375 0.576 0.250
Pt1 Pt 0.147 0.750 0.000
Pt2 Pt 0.393 0.250 0.000

# GGA-PBE Ba6NiS2I3, relaxed
# Calculated volume in A^3/atom: 39.911
# Raw formation energy in eV per atom: -1.344
# D(E_F) in states/eV/atom: 0.49
data_Ba6NiS2I3
_chemical_formula_sum 'Ba12 Ni2 S4 I6'
_space_group_name_H-M_alt 'C 1 2/m 1'
_space_group_IT_number 12
_cell_length_a 8.140
_cell_length_b 14.090
_cell_length_c 8.781
_cell_angle_alpha 90.00
_cell_angle_beta 107.99
_cell_angle_gamma 90.00
loop_
_space_group_symop_operation_xyz
'x,y,z'
'-x,-y,-z'
'-x,y,-z'
'x,-y,z'
'x+1/2,y+1/2,z'
'-x+1/2,-y+1/2,-z'
'-x+1/2,y+1/2,-z'
'x+1/2,-y+1/2,z'
loop_
_atom_site_label
_atom_site_type_symbol
_atom_site_fract_x
_atom_site_fract_y
_atom_site_fract_z
Ba1 Ba 0.229 0.162 0.199
Ba2 Ba 0.240 0.500 0.200
Ni1 Ni 0.000 0.000 0.000
S1 S 0.000 0.333 0.000
I1 I 0.000 0.170 0.500
I2 I 0.000 0.500 0.500

# GGA-PBE RbYAs2, relaxed
# Calculated volume in A^3/atom: 26.492
# DFT formation energy in eV per atom: -0.319
# D(E_F) in states/eV/atom: 1.70
data_RbYAs2
_chemical_formula_sum 'Rb4 Y4 As8'
_space_group_name_H-M_alt 'F m -3 m'
_space_group_IT_number 225
_space_group_name_Hall '-F 4 2 3'
_cell_length_a 7.512
_cell_length_b 7.512
_cell_length_c 7.512
_cell_angle_alpha 90.00
_cell_angle_beta 90.00
_cell_angle_gamma 90.00
loop_
_atom_site_label
_atom_site_type_symbol
_atom_site_fract_x
_atom_site_fract_y
_atom_site_fract_z
Rb1 Rb 0.000 0.000 0.000
Y1 Y 0.000 0.000 0.500
As1 As 0.250 0.250 0.250

The highest D(E_F) belongs to which entry?
RbYAs2